# 1
DFT (GGA-PBE) results for a geometry-optimized AcLa5Tb3 structure.

Cell: 7.5546 7.5546 11.4798 Å, 90.13 90.13 95.14°
Last column: nearest neighbours and their distance in Å.
Element x y z (fractional)
Ac (0.1886, 0.8114, 0.7500)  5 La 3.54-3.92, 6 Tb 3.56-3.95
Ac (0.8114, 0.1886, 0.2500)  5 La 3.54-3.92, 6 Tb 3.56-3.95
La (0.1757, 0.4325, 0.4516)  4 La 3.13-3.45, 1 Tb 3.46
La (0.2071, 0.5130, 0.0238)  4 La 3.16-3.45
La (0.4325, 0.1757, 0.9516)  4 La 3.13-3.45, 1 Tb 3.46
La (0.4870, 0.7929, 0.4762)  4 La 3.16-3.45
La (0.4943, 0.5057, 0.2500)  4 La 3.35-3.38, 1 Ac 3.54, 2 Tb 3.64
La (0.5057, 0.4943, 0.7500)  4 La 3.35-3.38, 1 Ac 3.54, 2 Tb 3.64
La (0.5130, 0.2071, 0.5238)  4 La 3.16-3.45
La (0.5675, 0.8243, 0.0484)  4 La 3.13-3.45, 1 Tb 3.46
La (0.7929, 0.4870, 0.9762)  4 La 3.16-3.45
La (0.8243, 0.5675, 0.5484)  4 La 3.13-3.45, 1 Tb 3.46
Tb (0.0000, 0.0000, 0.0000)  2 La 3.46, 2 Ac 3.56, 4 Tb 3.62-3.65
Tb (0.0000, 0.0000, 0.5000)  2 La 3.46, 2 Ac 3.56, 4 Tb 3.62-3.65
Tb (0.0495, 0.2947, 0.7521)  3 Tb 3.51-3.65, 6 La 3.61-3.86, 1 Ac 3.89
Tb (0.2947, 0.0495, 0.2521)  3 Tb 3.51-3.65, 6 La 3.61-3.86, 1 Ac 3.89
Tb (0.7053, 0.9505, 0.7479)  3 Tb 3.51-3.65, 6 La 3.61-3.86, 1 Ac 3.89
Tb (0.9505, 0.7053, 0.2479)  3 Tb 3.51-3.65, 6 La 3.61-3.86, 1 Ac 3.89

Values from the calculation:
**SG**: C2/c (15)
**Formation energy from the elements**: 0.174 eV per atom
**Electronic total energy**: -0.335 Ry/atom

***

# 2
DFT (GGA-PBE) results for a geometry-optimized La4HgRh structure.

Cell: 8.9384 8.9384 7.1600 Å, 107.83 107.83 117.12°
Last column: nearest neighbours and their distance in Å.
Element x y z (fractional)
La (0.0528, 0.6207, 0.8332)  1 Rh 2.80
La (0.1969, 0.2738, 0.7343)  2 Rh 2.89-2.93
La (0.2738, 0.1969, 0.2343)  2 Rh 2.89-2.93
La (0.3793, 0.9472, 0.6668)  1 Rh 2.80
La (0.6207, 0.0528, 0.3332)  1 Rh 2.80
La (0.7262, 0.8031, 0.7657)  2 Rh 2.89-2.93
La (0.8031, 0.7262, 0.2657)  2 Rh 2.89-2.93
La (0.9472, 0.3793, 0.1668)  1 Rh 2.80
Hg (0.3802, 0.6198, 0.2500)  8 La 3.19-3.49
Hg (0.6198, 0.3802, 0.7500)  8 La 3.19-3.49
Rh (0.0832, 0.9168, 0.7500)  6 La 2.80-2.93
Rh (0.9168, 0.0832, 0.2500)  6 La 2.80-2.93

Values from the calculation:
**SG**: C2/c (15)
**Formation energy from the elements**: -0.372 eV per atom
**ΔE to the lowest computed polymorph**: 11.34 kJ per mole of atoms
**Electronic total energy**: -0.363 Ry/atom

***

# 3
DFT (GGA-PBE) results for a geometry-optimized Pm4CuHg structure.

Cell: 5.0434 5.0411 7.3671 Å, 90.00 90.03 90.00°
Last column: nearest neighbours and their distance in Å.
Element x y z (fractional)
Pm (0.0000, 0.0000, 0.0000)  2 Cu 3.04, 2 Hg 3.21
Pm (0.9997, 0.0000, 0.4624)  2 Cu 3.04-3.05, 2 Hg 3.21, 1 Pm 3.41
Pm (0.5002, 0.5000, 0.0000)  2 Cu 3.04, 2 Hg 3.21
Pm (0.4996, 0.5000, 0.4625)  2 Cu 3.04, 2 Hg 3.21, 1 Pm 3.41
Cu (0.4994, 0.0000, 0.2308)  8 Pm 3.04-3.05
Hg (0.0000, 0.5000, 0.7313)  8 Pm 3.21

Values from the calculation:
**SG**: Pm (6)
**Formation energy from the elements**: 0.008 eV per atom
**Electronic total energy**: -0.286 Ry/atom

***

# 4
DFT (GGA-PBE) results for a geometry-optimized PuMgPt structure.

Cell: 7.9116 7.9116 4.3790 Å, 90.00 90.00 90.00°
Last column: nearest neighbours and their distance in Å.
Element x y z (fractional)
Pu (0.0702, 0.7256, 0.0000)  5 Pt 2.97-3.29
Pu (0.2744, 0.0702, 0.5000)  5 Pt 2.97-3.29
Pu (0.7256, 0.9298, 0.5000)  5 Pt 2.97-3.29
Pu (0.9298, 0.2744, 0.0000)  5 Pt 2.97-3.29
Mg (0.3383, 0.3941, 0.0000)  3 Pt 2.64-2.67
Mg (0.3941, 0.6617, 0.5000)  3 Pt 2.64-2.67
Mg (0.6059, 0.3383, 0.5000)  3 Pt 2.64-2.67
Mg (0.6617, 0.6059, 0.0000)  3 Pt 2.64-2.67
Pt (0.1534, 0.4257, 0.5000)  3 Mg 2.64-2.67, 1 Pt 2.70
Pt (0.4257, 0.8466, 0.0000)  3 Mg 2.64-2.67, 1 Pt 2.70
Pt (0.5743, 0.1534, 0.0000)  3 Mg 2.64-2.67, 1 Pt 2.70
Pt (0.8466, 0.5743, 0.5000)  3 Mg 2.64-2.67, 1 Pt 2.70

Values from the calculation:
**SG**: P4_2/m (84)
**Formation energy from the elements**: -0.512 eV per atom
**Electronic total energy**: -0.576 Ry/atom

***

# 5
DFT (GGA-PBE) results for a geometry-optimized Zr2Ni2Os structure.

Cell: 6.7764 6.7764 3.4724 Å, 90.00 90.00 90.00°
Last column: nearest neighbours and their distance in Å.
Element x y z (fractional)
Zr (0.1831, 0.3169, 0.0000)  6 Ni 2.56-2.73
Zr (0.3169, 0.8169, 0.0000)  6 Ni 2.56-2.73
Zr (0.6831, 0.1831, 0.0000)  6 Ni 2.56-2.73
Zr (0.8169, 0.6831, 0.0000)  6 Ni 2.56-2.73
Ni (0.1213, 0.6213, 0.5000)  1 Ni 2.32, 2 Zr 2.56
Ni (0.3787, 0.1213, 0.5000)  1 Ni 2.32, 2 Zr 2.56
Ni (0.6213, 0.8787, 0.5000)  1 Ni 2.32, 2 Zr 2.56
Ni (0.8787, 0.3787, 0.5000)  1 Ni 2.32, 2 Zr 2.56
Os (0.0000, 0.0000, 0.5000)  4 Ni 2.69
Os (0.5000, 0.5000, 0.5000)  4 Ni 2.69

Values from the calculation:
**SG**: P4/mbm (127)
**Formation energy from the elements**: -0.327 eV per atom
**Electronic total energy**: -0.610 Ry/atom

***

# 6
DFT (GGA-PBE) results for a geometry-optimized PaNi3Ge3 structure.

Cell: 6.8097 6.8097 6.8097 Å, 60.17 60.17 60.17°
Last column: nearest neighbours and their distance in Å.
Element x y z (fractional)
Pa (0.1484, 0.1484, 0.1484)  3 Ni 2.68, 3 Ge 2.98
Pa (0.8516, 0.8516, 0.8516)  3 Ni 2.68, 3 Ge 2.98
Ni (0.2316, 0.4057, 0.6804)  3 Ge 2.48-2.56, 4 Ni 2.55-2.68, 1 Pa 2.68
Ni (0.3196, 0.7684, 0.5943)  3 Ge 2.48-2.56, 4 Ni 2.55-2.68, 1 Pa 2.68
Ni (0.4057, 0.6804, 0.2316)  3 Ge 2.48-2.56, 4 Ni 2.55-2.68, 1 Pa 2.68
Ni (0.5943, 0.3196, 0.7684)  3 Ge 2.48-2.56, 4 Ni 2.55-2.68, 1 Pa 2.68
Ni (0.6804, 0.2316, 0.4057)  3 Ge 2.48-2.56, 4 Ni 2.55-2.68, 1 Pa 2.68
Ni (0.7684, 0.5943, 0.3196)  3 Ge 2.48-2.56, 4 Ni 2.55-2.68, 1 Pa 2.68
Ge (0.0414, 0.2641, 0.5678)  3 Ni 2.48-2.56, 1 Ge 2.69
Ge (0.2641, 0.5678, 0.0414)  3 Ni 2.48-2.56, 1 Ge 2.69
Ge (0.4322, 0.9586, 0.7359)  3 Ni 2.48-2.56, 1 Ge 2.69
Ge (0.5678, 0.0414, 0.2641)  3 Ni 2.48-2.56, 1 Ge 2.69
Ge (0.7359, 0.4322, 0.9586)  3 Ni 2.48-2.56, 1 Ge 2.69
Ge (0.9586, 0.7359, 0.4322)  3 Ni 2.48-2.56, 1 Ge 2.69

Values from the calculation:
**SG**: R-3 (148)
**Formation energy from the elements**: -0.175 eV per atom
**ΔE to the lowest computed polymorph**: 0.00 kJ per mole of atoms
**Electronic total energy**: -0.440 Ry/atom

***

# 7
DFT (GGA-PBE) results for a geometry-optimized Mg5Ti structure.

Cell: 7.9482 7.9482 3.4497 Å, 90.00 90.00 143.90°
Last column: nearest neighbours and their distance in Å.
Element x y z (fractional)
Mg (0.0000, 0.0000, 0.0000)  4 Ti 3.01, 4 Mg 3.02
Mg (0.1639, 0.8361, 0.5000)  8 Mg 3.01-3.17
Mg (0.3399, 0.6601, 0.0000)  2 Ti 2.97, 6 Mg 3.01-3.17
Mg (0.6601, 0.3399, 0.0000)  2 Ti 2.97, 6 Mg 3.01-3.17
Mg (0.8361, 0.1639, 0.5000)  8 Mg 3.01-3.17
Ti (0.5000, 0.5000, 0.5000)  8 Mg 2.97-3.01

Values from the calculation:
**SG**: Cmmm (65)
**Formation energy from the elements**: 0.122 eV per atom
**Electronic total energy**: -0.185 Ry/atom

***

# 8
DFT (GGA-PBE) results for a geometry-optimized SnTe2Pt structure.

Cell: 6.6161 6.6161 3.8474 Å, 106.81 106.81 46.00°
Last column: nearest neighbours and their distance in Å.
Element x y z (fractional)
Sn (0.0000, 0.0000, 0.0000)  2 Pt 2.87, 2 Te 3.04
Te (0.3150, 0.3707, 0.8439)  2 Pt 2.71
Te (0.6293, 0.6849, 0.1561)  2 Pt 2.71
Pt (0.5891, 0.4109, 0.5000)  4 Te 2.71, 2 Sn 2.87

Values from the calculation:
**E_form (uncorrected)**: -0.201 eV/atom
**SG**: C2 (5)
**Electronic total energy**: -0.315 Ry/atom

***

# 9
DFT (GGA-PBE) results for a geometry-optimized YTa2 structure.

Cell: 8.6000 8.6000 5.1516 Å, 90.00 90.00 160.38°
Last column: nearest neighbours and their distance in Å.
Element x y z (fractional)
Y (0.1199, 0.8801, 0.7500)  2 Y 2.93, 10 Ta 2.99-3.24
Y (0.8801, 0.1199, 0.2500)  2 Y 2.93, 10 Ta 2.99-3.24
Ta (0.2098, 0.7902, 0.2500)  8 Ta 2.93-3.26, 4 Y 2.99-3.24
Ta (0.4532, 0.5468, 0.7500)  6 Ta 2.93-3.13, 6 Y 3.18-3.21
Ta (0.5468, 0.4532, 0.2500)  6 Ta 2.93-3.13, 6 Y 3.18-3.21
Ta (0.7902, 0.2098, 0.7500)  8 Ta 2.93-3.26, 4 Y 2.99-3.24

Values from the calculation:
**SG**: Cmcm (63)
**Formation energy from the elements**: 0.485 eV per atom
**ΔE to the lowest computed polymorph**: 23.03 kJ per mole of atoms
**Electronic total energy**: -0.704 Ry/atom

***

# 10
DFT (GGA-PBE) results for a geometry-optimized Sc2ZnSnS structure.

Cell: 5.4274 5.4274 5.2146 Å, 90.00 90.00 90.00°
Last column: nearest neighbours and their distance in Å.
Element x y z (fractional)
Sc (0.0000, 0.5000, 0.0000)  2 Sn 2.71
Sc (0.5000, 0.0000, 0.0000)  2 Sn 2.71
Zn (0.0000, 0.0000, 0.5000)  8 Sc 3.76, 4 S 3.84
Sn (0.5000, 0.5000, 0.0000)  2 S 2.61, 4 Sc 2.71
S (0.5000, 0.5000, 0.5000)  2 Sn 2.61

Values from the calculation:
**E_form (uncorrected)**: 0.461 eV/atom
**SG**: P4/mmm (123)
**Electronic total energy**: -0.291 Ry/atom

***

# 11
DFT (GGA-PBE) results for a geometry-optimized Li2YGe2 structure.

Cell: 6.4213 6.4213 6.4213 Å, 143.32 143.32 52.85°
Last column: nearest neighbours and their distance in Å.
Element x y z (fractional)
Li (0.2500, 0.7500, 0.5000)  4 Ge 2.60, 4 Li 2.86
Li (0.7500, 0.2500, 0.5000)  4 Ge 2.60, 4 Li 2.86
Y (0.0000, 0.0000, 0.0000)  8 Ge 3.11
Ge (0.3929, 0.3929, 0.0000)  1 Ge 2.46, 4 Li 2.60
Ge (0.6071, 0.6071, 0.0000)  1 Ge 2.46, 4 Li 2.60

Values from the calculation:
**SG**: I4/mmm (139)
**Formation energy from the elements**: -0.584 eV per atom
**ΔE to the lowest computed polymorph**: 0.00 kJ per mole of atoms
**Electronic total energy**: -0.330 Ry/atom

***

# 12
DFT (GGA-PBE) results for a geometry-optimized V2AsP2 structure.

Cell: 6.6591 6.6591 6.6591 Å, 150.80 150.80 41.77°
Last column: nearest neighbours and their distance in Å.
Element x y z (fractional)
V (0.1115, 0.1115, 0.0000)  4 P 2.41
V (0.8885, 0.8885, 0.0000)  4 P 2.41
As (0.5000, 0.5000, 0.0000)  8 V 2.75
P (0.2500, 0.7500, 0.5000)  4 P 2.37, 4 V 2.41
P (0.7500, 0.2500, 0.5000)  4 P 2.37, 4 V 2.41

Values from the calculation:
**SG**: I4/mmm (139)
**Formation energy from the elements**: -0.369 eV per atom
**ΔE to the lowest computed polymorph**: 2.00 kJ per mole of atoms
**Electronic total energy**: -0.523 Ry/atom

***

Question: Which value of electronic total energy does entry 9 give?
Answer: -0.704 Ry/atom